Arrangement P

Material: LaCeAu4
Method: DFT, PBE-GGA
State: relaxed

Cell lengths 9.628, 9.628, 9.628 Å; angles 155.61, 155.61, 34.77 degrees
Atoms (fractional coordinates):
La1 0.000 0.000 0.000
Ce1 0.750 0.250 0.500
Au1 0.175 0.675 0.500
Au2 0.325 0.825 0.500
Au3 0.424 0.424 0.000
Au4 0.576 0.576 0.000

Arrangement Q

Material: LaCeAu4
Method: DFT, PBE-GGA
State: relaxed

Cell lengths 3.893, 3.893, 9.387 Å; angles 90.00, 90.00, 90.00 degrees
Atoms (fractional coordinates):
La1 0.000 0.000 0.000
Ce1 0.500 0.500 0.500
Au1 0.000 0.000 0.336
Au2 0.000 0.000 0.664
Au3 0.500 0.500 0.170
Au4 0.500 0.500 0.830

Preferred: arrangement Q; penalty for the next structure: 0.039 eV/atom.

Arrangement P

Material: LaCeTlAu
Method: DFT, PBE-GGA
State: relaxed

Cell lengths 3.729, 3.729, 8.156 Å; angles 90.00, 90.00, 90.00 degrees
Atoms (fractional coordinates):
La1 0.000 0.000 0.000
Ce1 0.000 0.000 0.544
Tl1 0.500 0.500 0.278
Au1 0.500 0.500 0.762

Arrangement Q

Material: LaCeTlAu
Method: DFT, PBE-GGA
State: relaxed

Cell lengths 5.449, 5.449, 5.449 Å; angles 60.00, 60.00, 60.00 degrees
Atoms (fractional coordinates):
La1 0.000 0.000 0.000
Ce1 0.500 0.500 0.500
Tl1 0.750 0.750 0.750
Au1 0.250 0.250 0.250

Preferred: arrangement P; penalty for the next structure: 0.055 eV/atom.